Below is a geometry-optimized KAl structure, with properties calculated at the PBE level.

abc: 3.665 4.695 9.289
angles: 90.00 100.74 90.00
Element x y z (fractional)
K 0.135 0.250 0.288
K 0.865 0.750 0.712
Al 0.472 0.250 0.940
Al 0.528 0.750 0.060

Results
excess energy over the best structure of this formula in the dataset = 152 meV per atom
space group = No. 11
DOS(E_F) = 0.42 states/eV/atom
crystal system = monoclinic
formation energy from the elements = 0.27 eV per atom